Record 1
Here is a relaxed Nd3Al2GaPd9 crystal from Alexandria via LeMat-Bulk. Energies are from PBE.

Structure (POSCAR):
```
Nd3Al2GaPd9
1.0
5.783 0.000 0.000
-2.891 5.008 0.000
0.000 0.000 11.023
Nd Al Ga Pd
3 2 1 9
direct
0.000 0.000 0.000
0.333 0.667 0.735
0.667 0.333 0.265
0.333 0.667 0.168
0.667 0.333 0.832
0.000 0.000 0.500
0.000 0.500 0.000
0.166 0.332 0.331
0.166 0.834 0.331
0.332 0.166 0.669
0.500 0.000 0.000
0.500 0.500 0.000
0.668 0.834 0.331
0.834 0.166 0.669
0.834 0.668 0.669
```

Computed properties:
SG   No. 164
Total DFT energy (no corrections)   -81.1 eV/cell
ΔE_f   -634 meV per atom
Magnetization   0.000 μB/atom

***

Record 2
Here is a relaxed Nd2Al4GaPd3 crystal from Alexandria via LeMat-Bulk. Energies are from PBE.

Structure (POSCAR):
```
Nd2Al4GaPd3
1.0
4.330 0.000 0.000
0.000 4.330 0.000
0.000 0.000 10.436
Nd Al Ga Pd
2 4 1 3
direct
0.000 0.500 0.248
0.500 0.000 0.752
0.000 0.000 0.500
0.000 0.500 0.863
0.500 0.000 0.137
0.500 0.500 0.500
0.500 0.500 0.000
0.000 0.000 0.000
0.000 0.500 0.626
0.500 0.000 0.374
```

Computed properties:
SG   No. 115
Total DFT energy (no corrections)   -51.0 eV/cell
ΔE_f   -786 meV per atom
Magnetization   0.000 μB/atom